(1)
DFT (PBE) results for a relaxed structure of SrLi2La2Pb2.

```
data_SrLi2La2Pb2
_cell_length_a 4.9570
_cell_length_b 4.9570
_cell_length_c 29.4764
_cell_angle_alpha 90.00
_cell_angle_beta 90.00
_cell_angle_gamma 120.00
_space_group_name_H-M_alt 'R -3 m'
_space_group_IT_number 166
_space_group_name_Hall '-R 3 2"'
loop_
_atom_site_label
_atom_site_fract_x
_atom_site_fract_y
_atom_site_fract_z
_atom_site_occupancy
Sr1 0.0000 0.0000 0.0000 1
Li1 0.0000 0.0000 0.4133 1
La1 0.0000 0.0000 0.1355 1
Pb1 0.0000 0.0000 0.2580 1
```



(2)
DFT (PBE) results for a relaxed structure of CaPr2Eu.

```
data_CaPr2Eu
_cell_length_a 3.7209
_cell_length_b 3.7209
_cell_length_c 10.9767
_cell_angle_alpha 90.00
_cell_angle_beta 90.00
_cell_angle_gamma 90.00
_space_group_name_H-M_alt 'P 4/m m m'
_space_group_IT_number 123
_space_group_name_Hall '-P 4 2'
loop_
_atom_site_label
_atom_site_fract_x
_atom_site_fract_y
_atom_site_fract_z
_atom_site_occupancy
Ca1 0.0000 0.0000 0.0000 1
Pr1 0.5000 0.5000 0.2540 1
Eu1 0.0000 0.0000 0.5000 1
```



Calculated values (eV per atom) of ΔE_f for the records, taken in order: -0.407 0.086.
Calculated values (g/cm³) of theoretical density for the records, taken in order: 6.30 5.18.